Entry from Alexandria: crystalline Nd4TlTe at its relaxed geometry (PBE).

Properties
Its energy above the lowest structure with this stoichiometry is 0.41 eV/f.u. Its uncorrected formation energy is -0.4876 eV per atom. As for the calculated total energy: -27.50 eV per formula unit.

The structure in CIF format:
```
data_Nd4TlTe
_chemical_formula_sum 'Nd16 Tl4 Te4'
_symmetry_space_group_name_H-M 'C m c m'
_symmetry_Int_Tables_number 63
_symmetry_space_group_name_Hall '-C 2c 2'
_cell_length_a 5.808
_cell_length_b 21.957
_cell_length_c 6.543
_cell_angle_alpha 90.00
_cell_angle_beta 90.00
_cell_angle_gamma 90.00
loop_
_atom_site_label
_atom_site_type_symbol
_atom_site_fract_x
_atom_site_fract_y
_atom_site_fract_z
Nd1 Nd 0.000 0.067 0.250
Nd2 Nd 0.000 0.215 0.003
Nd3 Nd 0.000 0.373 0.250
Tl1 Tl 0.000 0.352 0.750
Te1 Te 0.000 0.075 0.750
```

---

Entry from Alexandria: crystalline OsAuIN2 at its relaxed geometry (PBE).

Properties
Its energy above the lowest structure with this stoichiometry is 7.86 eV/f.u. Its uncorrected formation energy is 2.4325 eV per atom. As for the calculated total energy: -20.55 eV per formula unit.

The structure in CIF format:
```
data_OsAuIN2
_chemical_formula_sum 'Os1 Au1 I1 N2'
_symmetry_space_group_name_H-M 'P 4/m m m'
_symmetry_Int_Tables_number 123
_symmetry_space_group_name_Hall '-P 4 2'
_cell_length_a 3.924
_cell_length_b 3.924
_cell_length_c 8.033
_cell_angle_alpha 90.00
_cell_angle_beta 90.00
_cell_angle_gamma 90.00
loop_
_atom_site_label
_atom_site_type_symbol
_atom_site_fract_x
_atom_site_fract_y
_atom_site_fract_z
Os1 Os 0.000 0.000 0.000
Au1 Au 0.500 0.500 0.500
I1 I 0.500 0.500 0.000
N1 N 0.000 0.500 0.500
```

---

Entry from Alexandria: crystalline Tm6Sb3TeAs2 at its relaxed geometry (PBE).

Properties
Its uncorrected formation energy is -1.2491 eV per atom. As for the calculated total energy: -66.63 eV per formula unit.

The structure in CIF format:
```
data_Tm6Sb3TeAs2
_chemical_formula_sum 'Tm12 Sb6 Te2 As4'
_symmetry_space_group_name_H-M 'C 1 2/m 1'
_symmetry_Int_Tables_number 12
_cell_length_a 18.471
_cell_length_b 4.231
_cell_length_c 8.510
_cell_angle_alpha 90.00
_cell_angle_beta 103.26
_cell_angle_gamma 90.00
loop_
_symmetry_equiv_pos_as_xyz
'x,y,z'
'-x,-y,-z'
'-x,y,-z'
'x,-y,z'
'x+1/2,y+1/2,z'
'-x+1/2,-y+1/2,-z'
'-x+1/2,y+1/2,-z'
'x+1/2,-y+1/2,z'
loop_
_atom_site_label
_atom_site_type_symbol
_atom_site_fract_x
_atom_site_fract_y
_atom_site_fract_z
Tm1 Tm 0.008 0.000 0.261
Tm2 Tm 0.171 0.500 0.574
Tm3 Tm 0.172 0.500 0.100
Sb1 Sb 0.000 0.500 0.500
Sb2 Sb 0.162 0.000 0.832
Te1 Te 0.000 0.500 0.000
As1 As 0.168 0.000 0.334
```